Density functional theory data (PBE) for crystalline GeAuO2 at its relaxed geometry.

Total magnetic moment, μB/atom: 0.00
N(E_F), states/eV/f.u.: 0.24
E, eV/atom: -5.4895

Unit cell a=9.8043 b=9.8043 c=9.8043 alpha=16.78 beta=16.78 gamma=16.78
With the nearest neighbours (Å) after each atom.
Sites, in units of the cell vectors:
Au (0.0000, 0.0000, 0.0000)  6 Au 2.86
O (0.1325, 0.1325, 0.1325)  3 Ge 1.93
O (0.8675, 0.8675, 0.8675)  3 Ge 1.93
Ge (0.5000, 0.5000, 0.5000)  6 O 1.93

Density functional theory data (PBE) for crystalline Ga3AsCl at its relaxed geometry.

Total magnetic moment, μB/atom: 0.00
N(E_F), states/eV/f.u.: 2.28
E, eV/atom: -2.9841

Unit cell a=5.1658 b=5.1658 c=5.1658 alpha=90.00 beta=90.00 gamma=90.00
With the nearest neighbours (Å) after each atom.
Sites, in units of the cell vectors:
Ga (0.5000, 0.0000, 0.0000)  2 As 2.58
Ga (0.0000, 0.5000, 0.0000)  2 As 2.58
Ga (0.0000, 0.0000, 0.5000)  2 As 2.58
As (0.0000, 0.0000, 0.0000)  6 Ga 2.58
Cl (0.5000, 0.5000, 0.5000)  12 Ga 3.65